DFT (GGA+U) results for a relaxed CaBMoO5 crystal.

VASP energy ... -7.33 eV per atom

Cell lengths 6.4415, 8.4909, 7.2352 Å; angles 90.00, 114.39, 90.00 degrees
With the nearest neighbours (Å) after each atom.
Space group C2/c (No. 15)
Symmetry-distinct sites (fractional):
Ca 0.0000 0.1584 0.2500 x4  5 O 2.23-2.42
B 0.0000 0.1869 0.7500 x4  4 O 1.50-1.52
Mo 0.0000 0.5000 0.0000 x4  6 O 1.93-2.05
O 0.0000 0.4214 0.2500 x4  2 Mo 1.93
O 0.0972 0.2829 0.6312 x8  1 B 1.50
O 0.1784 0.0758 0.8947 x8  1 B 1.52